The following is a DFT calculation (GGA-PBE) of a relaxed PrHo5Bi6 crystal.

Structure (POSCAR):
```
PrHo5Bi6
1.0
7.779 0.215 0.000
2.396 7.404 0.000
1.198 3.702 6.740
Ho Bi Pr
5 6 1
Cartesian
1.198 3.702 2.263
6.286 7.511 2.201
5.088 3.809 0.000
2.396 7.404 4.477
5.088 3.809 4.539
7.604 5.752 4.449
4.967 9.270 4.449
2.573 1.955 0.000
7.602 5.663 0.000
6.406 2.050 2.292
3.769 5.568 2.292
0.000 0.000 0.000
```

Results
E_form = -851.8 meV per atom

***

The following is a DFT calculation (GGA-PBE) of a relaxed Pr2HoBi3 crystal.

Structure (POSCAR):
```
Pr2HoBi3
1.0
-7.490 2.557 0.670
2.722 -2.528 -7.020
-0.634 -6.958 3.758
Pr Bi Ho
4 6 2
Cartesian
-2.673 -3.478 -1.317
-6.105 -1.769 1.267
-0.682 -0.833 -4.457
0.675 -5.145 -3.838
-5.720 -4.413 -0.653
-1.698 -5.243 1.288
-3.767 -1.654 -3.832
-3.022 -0.853 0.577
0.407 -2.511 -1.902
-2.404 -6.113 -3.254
-4.075 0.856 -1.902
2.077 -9.480 -3.254
```

Results
Energy relative to the lowest polymorph listed for this composition = 0.000 eV/atom
E_form = -912.1 meV per atom

***

The following is a DFT calculation (GGA-PBE) of a relaxed Pr2Ho3Bi2 crystal.

Structure (POSCAR):
```
Pr2Ho3Bi2
1.0
4.368 0.000 0.000
-2.184 6.227 0.064
0.000 -3.119 8.277
Ho Pr Bi
3 2 2
Cartesian
0.000 2.962 4.621
2.184 0.000 0.000
2.184 0.146 3.720
2.184 3.949 1.814
0.000 -0.841 6.527
0.000 1.477 1.691
2.184 1.631 6.650
```

Results
E_form = -478.6 meV per atom

***

The following is a DFT calculation (GGA-PBE) of a relaxed Pr3HoBi2 crystal.

Structure (POSCAR):
```
Pr3HoBi2
1.0
4.669 0.000 0.000
0.000 4.669 0.000
0.000 0.000 9.017
Pr Bi Ho
3 2 1
Cartesian
2.335 0.000 3.174
0.000 2.335 5.843
0.000 0.000 0.000
0.000 2.335 2.502
2.335 0.000 6.515
2.335 2.335 0.000
```

Results
E_form = -651.1 meV per atom

***

The following is a DFT calculation (GGA-PBE) of a relaxed Pr2Ho5Bi4 crystal.

Structure (POSCAR):
```
Pr2Ho5Bi4
1.0
3.469 0.000 0.000
0.000 8.067 -1.690
-1.735 -6.197 14.110
Ho Bi Pr
5 4 2
Cartesian
0.000 0.283 3.818
1.735 0.000 0.000
1.735 -2.843 8.807
0.000 4.714 3.613
1.735 1.588 8.602
1.735 -0.528 11.016
0.000 2.398 1.404
1.735 2.609 5.425
0.000 -0.738 6.995
1.735 -3.603 12.204
0.000 5.474 0.216
```

Results
E_form = -253.5 meV per atom

***

The following is a DFT calculation (GGA-PBE) of a relaxed PrHo4Bi5 crystal.

Structure (POSCAR):
```
PrHo4Bi5
1.0
4.416 0.000 -0.852
-0.328 6.126 -1.700
0.005 -0.005 11.895
Pr Ho Bi
1 4 5
Cartesian
0.000 0.000 0.000
3.264 4.883 5.047
2.454 3.675 0.849
1.639 2.445 8.493
0.829 1.237 4.296
1.457 5.482 7.550
3.441 1.840 5.964
-0.164 3.063 -0.850
2.636 0.639 1.793
0.652 4.280 3.379
```

Results
E_form = -854.4 meV per atom

***

The following is a DFT calculation (GGA-PBE) of a relaxed Pr5HoBi4 crystal.

Structure (POSCAR):
```
Pr5HoBi4
1.0
4.512 0.000 0.000
0.000 8.799 -0.635
-2.256 -1.927 9.607
Ho Bi Pr
1 4 5
Cartesian
2.256 0.000 0.000
0.000 2.156 -0.028
2.256 4.716 9.000
0.000 6.770 5.834
2.256 0.102 3.139
2.256 0.284 6.327
0.000 6.588 2.645
0.000 2.414 3.168
2.256 4.458 5.804
2.256 4.399 -0.317
```

Results
E_form = -562.7 meV per atom

***

The following is a DFT calculation (GGA-PBE) of a relaxed Pr2Ho2Bi5 crystal.

Structure (POSCAR):
```
Pr2Ho2Bi5
1.0
-7.584 0.418 3.856
-4.047 -3.095 -7.622
3.202 -5.174 6.858
Bi Pr Ho
10 4 4
Cartesian
0.000 0.000 0.000
-0.448 -3.113 2.268
-2.396 -7.164 2.662
-4.214 -3.925 1.546
-6.032 -0.687 0.430
-4.071 -1.249 4.349
-6.019 -5.299 4.743
-7.981 -4.737 0.824
-4.358 -6.601 -1.257
-2.410 -2.551 -1.651
-2.644 -3.497 -4.821
1.799 -4.772 4.056
-5.617 -3.523 -1.256
-2.812 -4.327 4.348
-2.724 -1.128 1.201
-6.678 -2.511 2.982
-5.705 -6.722 1.891
-1.750 -5.339 0.110
```

Results
E_form = -673.5 meV per atom

***

The following is a DFT calculation (GGA-PBE) of a relaxed PrHo3Bi4 crystal.

Structure (POSCAR):
```
PrHo3Bi4
1.0
4.510 -0.056 0.076
0.057 7.493 2.190
-0.126 0.437 7.794
Ho Bi Pr
3 4 1
Cartesian
4.384 0.382 7.870
4.475 3.910 5.069
2.192 0.191 3.935
2.266 5.734 3.670
4.459 5.949 7.520
2.174 2.142 6.391
4.491 1.871 2.617
2.157 4.157 8.927
```

Results
E_form = -859.7 meV per atom

***

The following is a DFT calculation (GGA-PBE) of a relaxed Pr2HoBi3 crystal.

Structure (POSCAR):
```
Pr2HoBi3
1.0
-3.551 -1.667 -2.372
-3.005 -1.498 5.551
0.320 7.781 -1.518
Pr Bi Ho
2 3 1
Cartesian
-0.837 5.979 -0.735
-5.399 -1.364 2.395
-1.616 3.057 -1.945
-2.291 5.128 2.039
-3.946 -0.512 -0.379
-3.118 2.308 0.830
```

Results
Energy relative to the lowest polymorph listed for this composition = 0.003 eV/atom
E_form = -909.4 meV per atom

***

The following is a DFT calculation (GGA-PBE) of a relaxed PrHo2Bi3 crystal.

Structure (POSCAR):
```
PrHo2Bi3
1.0
-2.993 -2.513 2.275
1.443 -5.045 -3.674
5.623 1.973 5.083
Ho Bi Pr
2 3 1
Cartesian
-0.335 -5.977 -0.301
4.408 0.392 3.984
5.213 -2.162 2.223
1.315 -0.270 3.679
-1.140 -3.423 1.461
2.037 -2.793 1.842
```

Results
E_form = -867.7 meV per atom

***

The following is a DFT calculation (GGA-PBE) of a relaxed PrHoPu2Bi4 crystal.

Structure (POSCAR):
```
PrHoPu2Bi4
1.0
-2.880 3.511 0.316
-6.111 -4.955 -0.647
1.874 0.855 7.582
Pu Bi Ho Pr
2 4 1 1
Cartesian
-0.503 2.183 3.949
-2.119 -2.050 3.468
-4.082 -3.475 1.411
-2.536 0.698 1.916
-0.155 -0.625 5.525
-4.581 -1.288 5.335
-4.496 -0.722 -0.165
0.000 0.000 0.000
```

Results
E_form = -591.4 meV per atom

***

The following is a DFT calculation (GGA-PBE) of a relaxed Pr2HoScBi4 crystal.

Structure (POSCAR):
```
Pr2HoScBi4
1.0
4.516 0.000 0.000
0.000 7.818 0.135
0.000 -2.733 7.293
Sc Pr Bi Ho
1 2 4 1
Cartesian
2.258 3.909 0.068
2.258 -1.366 3.647
0.000 2.543 3.714
2.258 1.319 1.739
2.258 3.766 5.690
0.000 5.138 1.773
0.000 -0.053 5.655
0.000 0.000 0.000
```

Results
E_form = -838.5 meV per atom

***

The following is a DFT calculation (GGA-PBE) of a relaxed Pr2SmHoBi4 crystal.

Structure (POSCAR):
```
Pr2SmHoBi4
1.0
4.581 0.000 0.000
0.000 7.927 0.137
0.000 -2.772 7.421
Bi Ho Pr Sm
4 1 2 1
Cartesian
2.290 1.314 1.834
0.000 -0.075 5.672
2.290 3.842 5.724
0.000 5.231 1.886
2.290 3.964 0.068
2.290 -1.386 3.711
0.000 2.578 3.779
0.000 0.000 0.000
```

Results
E_form = -916.5 meV per atom

***

The following is a DFT calculation (GGA-PBE) of a relaxed Pr2Sm3HoBi6 crystal.

Structure (POSCAR):
```
Pr2Sm3HoBi6
1.0
4.573 0.000 0.000
0.000 9.134 0.326
-2.286 -2.630 9.605
Pr Sm Bi Ho
2 3 6 1
Cartesian
0.000 2.163 3.289
2.286 4.341 6.642
2.286 -0.227 6.427
0.000 6.732 3.504
2.286 4.567 0.163
0.000 6.892 0.289
2.286 4.482 3.375
0.000 2.023 6.556
2.286 -0.387 9.642
2.286 -0.151 3.183
0.000 6.655 6.748
2.286 0.000 0.000
```

Results
E_form = -917.9 meV per atom

***

The following is a DFT calculation (GGA-PBE) of a relaxed PrSm2Ho3Bi6 crystal.

Structure (POSCAR):
```
PrSm2Ho3Bi6
1.0
-0.803 3.828 -2.276
-7.051 -3.914 -4.096
-3.615 2.046 9.218
Bi Sm Ho Pr
6 2 3 1
Cartesian
-9.140 -0.984 1.570
-5.243 -2.897 -3.024
-5.605 1.035 3.718
-2.330 2.945 1.276
-6.226 4.858 5.869
-5.865 0.926 -0.873
-7.776 1.942 1.511
-3.693 0.019 1.334
-4.266 3.905 3.574
-7.204 -1.944 -0.728
-3.927 -0.043 -3.186
-0.401 1.914 -1.138
```

Results
E_form = -884.1 meV per atom

***

The following is a DFT calculation (GGA-PBE) of a relaxed PrSm2HoBi4 crystal.

Structure (POSCAR):
```
PrSm2HoBi4
1.0
-4.554 0.058 0.212
-0.124 -7.877 -0.490
0.298 -3.092 7.252
Pr Sm Bi Ho
1 2 4 1
Cartesian
-2.339 -3.909 -0.139
0.298 -3.092 7.252
-2.128 -1.517 3.732
-4.508 -2.692 1.945
0.129 -8.219 5.029
-2.086 -4.261 5.376
-2.293 -6.650 1.597
0.087 -5.484 3.381
```

Results
E_form = -905.7 meV per atom

***

The following is a DFT calculation (GGA-PBE) of a relaxed PrSm2HoBi5 crystal.

Structure (POSCAR):
```
PrSm2HoBi5
1.0
5.597 0.000 0.000
0.000 5.597 0.000
0.000 0.000 11.936
Sm Pr Bi Ho
2 1 5 1
Cartesian
2.798 2.798 3.267
2.798 2.798 8.669
0.000 0.000 5.968
0.000 0.000 2.887
0.000 2.798 5.968
0.000 0.000 9.049
2.798 0.000 5.968
2.798 2.798 0.000
0.000 0.000 0.000
```

Results
E_form = 71.1 meV per atom

***

The following is a DFT calculation (GGA-PBE) of a relaxed TbPr2Ho3Bi6 crystal.

Structure (POSCAR):
```
TbPr2Ho3Bi6
1.0
-0.366 4.442 -0.810
-7.681 -1.465 -4.559
-2.932 -0.791 9.651
Pr Ho Tb Bi
2 3 1 6
Cartesian
-7.393 2.198 2.732
-3.586 -0.013 1.550
-3.527 2.926 4.975
-4.024 1.488 -2.684
-7.452 -0.741 -0.693
-0.183 2.221 -0.405
-5.242 0.359 4.340
-5.737 1.826 -0.058
-5.193 3.274 7.637
-5.786 -1.089 -3.356
-9.184 -0.402 1.950
-1.795 2.587 2.332
```

Results
E_form = -879.8 meV per atom

***

The following is a DFT calculation (GGA-PBE) of a relaxed Tb2PrHoBi4 crystal.

Structure (POSCAR):
```
Tb2PrHoBi4
1.0
-4.210 -0.841 -1.436
-2.249 -1.350 7.383
-2.447 6.693 3.251
Bi Tb Ho Pr
4 2 1 1
Cartesian
-4.486 4.233 3.538
-5.388 0.551 1.204
-3.517 3.952 7.994
-4.419 0.270 5.660
-3.328 2.926 0.908
-2.447 6.693 3.251
-2.348 2.672 5.317
-3.229 -1.096 2.973
```

Results
E_form = -882.1 meV per atom

***

The following is a DFT calculation (GGA-PBE) of a relaxed Tb2PrHo3Bi6 crystal.

Structure (POSCAR):
```
Tb2PrHo3Bi6
1.0
-2.120 -1.743 -3.570
7.940 -1.637 -3.917
-0.682 -7.353 6.836
Ho Bi Tb Pr
3 6 2 1
Cartesian
6.031 -4.081 -1.590
2.910 -1.690 -3.743
-0.893 -6.652 0.939
2.999 -4.558 -2.396
2.138 -6.175 1.745
6.129 -6.928 -0.257
2.050 -0.429 -1.008
3.088 -10.304 0.358
-0.991 -3.805 -0.393
2.065 -3.301 0.385
3.073 -7.432 -1.036
-1.060 -0.872 -1.785
```

Results
E_form = -867.6 meV per atom

***

The following is a DFT calculation (GGA-PBE) of a relaxed PrHoBiTe crystal.

Structure (POSCAR):
```
PrHoBiTe
1.0
-0.295 -2.878 3.312
3.851 0.628 -2.030
0.659 7.344 3.522
Te Bi Ho Pr
1 1 1 1
Cartesian
1.402 0.060 3.649
2.626 5.938 3.027
3.740 1.024 -1.145
0.794 3.314 3.503
```

Results
ΔE_f (raw) = -1.106 eV per atom

***

The following is a DFT calculation (GGA-PBE) of a relaxed Pr2HoThBi5 crystal.

Structure (POSCAR):
```
Pr2HoThBi5
1.0
5.762 0.000 0.000
0.000 5.762 0.000
0.000 0.000 11.886
Bi Pr Th Ho
5 2 1 1
Cartesian
2.881 0.000 5.943
0.000 2.881 5.943
0.000 0.000 2.879
2.881 2.881 0.000
0.000 0.000 9.007
2.881 2.881 3.371
2.881 2.881 8.515
0.000 0.000 5.943
0.000 0.000 0.000
```

Results
E_form = 30.7 meV per atom

***

Number 1: total DFT energy (no corrections) -5.098 eV/atom. Number 2: total DFT energy (no corrections) -5.209 eV/atom. Number 3: total DFT energy (no corrections) -4.915 eV/atom. Number 4: total DFT energy (no corrections) -5.097 eV/atom. Number 5: total DFT energy (no corrections) -4.615 eV/atom. Number 6: total DFT energy (no corrections) -5.104 eV/atom. Number 7: total DFT energy (no corrections) -4.963 eV/atom. Number 8: total DFT energy (no corrections) -4.909 eV/atom. Number 9: total DFT energy (no corrections) -5.114 eV/atom. Number 10: total DFT energy (no corrections) -5.206 eV/atom. Number 11: total DFT energy (no corrections) -5.131 eV/atom. Number 12: total DFT energy (no corrections) -7.284 eV/atom. Number 13: total DFT energy (no corrections) -5.338 eV/atom. Number 14: total DFT energy (no corrections) -5.214 eV/atom. Number 15: total DFT energy (no corrections) -5.216 eV/atom. Number 16: total DFT energy (no corrections) -5.154 eV/atom. Number 17: total DFT energy (no corrections) -5.196 eV/atom. Number 18: total DFT energy (no corrections) -4.173 eV/atom. Number 19: total DFT energy (no corrections) -5.147 eV/atom. Number 20: total DFT energy (no corrections) -5.150 eV/atom. Number 21: total DFT energy (no corrections) -5.123 eV/atom. Number 22: total DFT energy (no corrections) -5.200 eV/atom. Number 23: total DFT energy (no corrections) -4.521 eV/atom.